The following is a DFT calculation (PBE) of MoRh after structural relaxation. Values from VASP.

ΔH_f (0 K)	0.564	eV per atom
Fermi-level density of states	7.906	states/eV/cell

The structure in Quantum ESPRESSO input format:
```
&SYSTEM
  ibrav = 0, nat = 8, ntyp = 2
/
ATOMIC_SPECIES
Mo 95.94 Mo.upf
Rh 102.91 Rh.upf
CELL_PARAMETERS angstrom
5.190 0.000 0.000
0.000 5.190 0.000
0.000 0.000 4.963
ATOMIC_POSITIONS angstrom
Mo 0.894 0.894 0.000
Mo 1.701 3.489 2.481
Mo 3.489 1.701 2.481
Mo 4.296 4.296 0.000
Rh 0.953 0.953 2.481
Rh 1.642 3.548 0.000
Rh 3.548 1.642 0.000
Rh 4.238 4.238 2.481
```